Here is a relaxed structure of AsRhPb2 from Alexandria via LeMat-Bulk. Energies are from GGA-PBE.

a = 3.3904 Å, b = 3.3904 Å, c = 8.0181 Å
α = 90.00°, β = 90.00°, γ = 90.00°
Space group P4mm (No. 99)
Asymmetric unit:
As  0.0000  0.0000  0.0000 x1
Rh  0.5000  0.5000  0.8809 x1
Pb  0.0000  0.0000  0.6209 x1
Pb  0.5000  0.5000  0.2708 x1

Values from the calculation:
N(E_F)	0.780	states/eV/atom
ρ	10.67	g/cm³
energy of formation from the pure elements	-0.39	eV/f.u.
calculated volume	23.04	Å³ per atom



Here is a relaxed structure of Ho3Tm2Sb2 from Alexandria via LeMat-Bulk. Energies are from GGA-PBE.

a = 12.0266 Å, b = 4.2124 Å, c = 8.3583 Å
α = 90.00°, β = 108.31°, γ = 90.00°
Space group C2/m (No. 12)
Asymmetric unit:
Ho  0.0000  0.0000  0.0000 x2
Ho  0.1257  0.0000  0.4449 x4
Tm  0.1292  0.5000  0.7787 x4
Sb  0.1764  0.5000  0.1897 x4

Values from the calculation:
N(E_F)	0.867	states/eV/atom
ρ	8.89	g/cm³
raw formation energy	-411.9	kJ/mol of formula units
calculated volume	28.71	Å³ per atom



Here is a relaxed structure of HoScCu from Alexandria via LeMat-Bulk. Energies are from GGA-PBE.

a = 4.5970 Å, b = 4.5970 Å, c = 3.6971 Å
α = 90.00°, β = 90.00°, γ = 120.00°
Space group P3m1 (No. 156)
Asymmetric unit:
Ho  0.0000  0.0000  0.0000 x1
Sc  0.3333  0.6667  0.5156 x1
Cu  0.6667  0.3333  0.3771 x1

Values from the calculation:
N(E_F)	1.026	states/eV/atom
ρ	6.71	g/cm³
energy of formation from the pure elements	0.05	eV/f.u.
energy relative to the lowest polymorph listed for this composition	193.2	meV/atom
calculated volume	22.55	Å³ per atom



Here is a relaxed structure of Y2TiAs2 from Alexandria via LeMat-Bulk. Energies are from GGA-PBE.

a = 7.2994 Å, b = 7.2994 Å, c = 4.0694 Å
α = 90.00°, β = 90.00°, γ = 90.00°
Space group P4/mbm (No. 127)
Asymmetric unit:
Y  0.1616  0.3384  0.0000 x4
Ti  0.0000  0.0000  0.5000 x2
As  0.1497  0.6497  0.5000 x4

Values from the calculation:
N(E_F)	0.288	states/eV/atom
ρ	5.75	g/cm³
energy of formation from the pure elements	-5.23	eV/f.u.
calculated volume	21.68	Å³ per atom



Here is a relaxed structure of SbPtSe2 from Alexandria via LeMat-Bulk. Energies are from GGA-PBE.

a = 3.9783 Å, b = 5.2911 Å, c = 8.5398 Å
α = 90.00°, β = 90.00°, γ = 90.00°
Space group Amm2 (No. 38)
Asymmetric unit:
Sb  0.0000  0.0000  0.0000 x2
Pt  0.5000  0.0000  0.7930 x2
Se  0.0000  0.0000  0.5993 x2
Se  0.5000  0.0000  0.2643 x2

Values from the calculation:
N(E_F)	0.426	states/eV/atom
ρ	8.77	g/cm³
raw formation energy	-92.0	kJ/mol of formula units
calculated volume	22.47	Å³ per atom



Here is a relaxed structure of CsKRb5 from Alexandria via LeMat-Bulk. Energies are from GGA-PBE.

a = 7.4449 Å, b = 7.4449 Å, c = 12.3564 Å
α = 90.00°, β = 90.00°, γ = 90.00°
Space group P4/mmm (No. 123)
Asymmetric unit:
Cs  0.0000  0.0000  0.0000 x1
K  0.0000  0.0000  0.5000 x1
Rb  0.0000  0.5000  0.2846 x4
Rb  0.5000  0.5000  0.0000 x1

Values from the calculation:
N(E_F)	0.804	states/eV/atom
ρ	1.45	g/cm³
energy of formation from the pure elements	0.29	eV/f.u.
energy relative to the lowest polymorph listed for this composition	0.0	meV/atom
calculated volume	97.84	Å³ per atom



Here is a relaxed structure of La4CdIn from Alexandria via LeMat-Bulk. Energies are from GGA-PBE.

a = 9.2462 Å, b = 9.2462 Å, c = 9.2462 Å
α = 90.00°, β = 90.00°, γ = 90.00°
Space group F-43m (No. 216)
Asymmetric unit:
La  0.1237  0.1237  0.3763 x16
Cd  0.0000  0.0000  0.0000 x4
In  0.2500  0.2500  0.7500 x4

Values from the calculation:
N(E_F)	1.448	states/eV/atom
ρ	6.58	g/cm³
energy of formation from the pure elements	0.75	eV/f.u.
energy relative to the lowest polymorph listed for this composition	383.1	meV/atom
calculated volume	32.94	Å³ per atom



Here is a relaxed structure of KSrZnI5 from Alexandria via LeMat-Bulk. Energies are from GGA-PBE.

a = 10.5522 Å, b = 13.6330 Å, c = 11.6176 Å
α = 90.00°, β = 114.67°, γ = 90.00°
Space group C2/c (No. 15)
Asymmetric unit:
K  0.0000  0.1452  0.2500 x4
Sr  0.0000  0.5000  0.0000 x4
Zn  0.0000  0.1816  0.7500 x4
I  0.0000  0.3999  0.2500 x4
I  0.1305  0.2867  0.6411 x8
I  0.1701  0.0655  0.9350 x8

Values from the calculation:
N(E_F)	0.000	states/eV/atom
ρ	3.62	g/cm³
raw formation energy	-934.9	kJ/mol of formula units
calculated volume	47.46	Å³ per atom



Here is a relaxed structure of Ga2Cu3Pd4 from Alexandria via LeMat-Bulk. Energies are from GGA-PBE.

a = 7.4036 Å, b = 4.2539 Å, c = 8.0195 Å
α = 90.00°, β = 90.36°, γ = 90.00°
Space group C2/m (No. 12)
Asymmetric unit:
Ga  0.1672  0.0000  0.2212 x4
Cu  0.0000  0.5000  0.0000 x2
Cu  0.1665  0.0000  0.5364 x4
Pd  0.0001  0.5000  0.3244 x4
Pd  0.1664  0.0000  0.8872 x4

Values from the calculation:
N(E_F)	0.283	states/eV/atom
ρ	9.94	g/cm³
energy of formation from the pure elements	-3.65	eV/f.u.
calculated volume	14.03	Å³ per atom



Here is a relaxed structure of LiRuCl3 from Alexandria via LeMat-Bulk. Energies are from GGA-PBE.

a = 4.6366 Å, b = 4.6366 Å, c = 4.6366 Å
α = 90.00°, β = 90.00°, γ = 90.00°
Space group Pm-3m (No. 221)
Asymmetric unit:
Li  0.0000  0.0000  0.0000 x1
Ru  0.5000  0.5000  0.5000 x1
Cl  0.0000  0.0000  0.5000 x3

Values from the calculation:
N(E_F)	1.096	states/eV/atom
ρ	3.57	g/cm³
raw formation energy	-18.6	kJ/mol of formula units
energy relative to the lowest polymorph listed for this composition	472.1	meV/atom
calculated volume	19.94	Å³ per atom



Here is a relaxed structure of PuScBeO6 from Alexandria via LeMat-Bulk. Energies are from GGA-PBE.

a = 4.9912 Å, b = 4.9912 Å, c = 9.3636 Å
α = 90.00°, β = 90.00°, γ = 120.00°
Space group P-31c (No. 163)
Asymmetric unit:
Pu  0.3333  0.6667  0.2500 x2
Sc  0.0000  0.0000  0.0000 x2
Be  0.3333  0.6667  0.7500 x2
O  0.0188  0.3556  0.6363 x12

Values from the calculation:
ρ	6.48	g/cm³
raw formation energy	-2183.7	kJ/mol of formula units
calculated volume	11.22	Å³ per atom



Here is a relaxed structure of MgCu2Ir from Alexandria via LeMat-Bulk. Energies are from GGA-PBE.

a = 3.8329 Å, b = 3.8329 Å, c = 7.5306 Å
α = 90.00°, β = 90.00°, γ = 90.00°
Space group I-4m2 (No. 119)
Asymmetric unit:
Mg  0.0000  0.0000  0.0000 x2
Cu  0.0000  0.0000  0.5000 x2
Cu  0.0000  0.5000  0.7500 x2
Ir  0.0000  0.5000  0.2500 x2

Values from the calculation:
N(E_F)	0.688	states/eV/atom
ρ	10.31	g/cm³
energy of formation from the pure elements	-0.30	eV/f.u.
calculated volume	13.83	Å³ per atom



Here is a relaxed structure of CsZn2W from Alexandria via LeMat-Bulk. Energies are from GGA-PBE.

a = 7.3314 Å, b = 7.3314 Å, c = 7.3314 Å
α = 90.00°, β = 90.00°, γ = 90.00°
Space group Fm-3m (No. 225)
Asymmetric unit:
Cs  0.0000  0.0000  0.0000 x4
Zn  0.2500  0.2500  0.2500 x8
W  0.0000  0.0000  0.5000 x4

Values from the calculation:
N(E_F)	0.618	states/eV/atom
ρ	7.54	g/cm³
energy of formation from the pure elements	6.07	eV/f.u.
calculated volume	24.63	Å³ per atom



Here is a relaxed structure of AsP2 from Alexandria via LeMat-Bulk. Energies are from GGA-PBE.

a = 4.6303 Å, b = 4.6303 Å, c = 2.6156 Å
α = 90.00°, β = 90.00°, γ = 120.00°
Space group P6/mmm (No. 191)
Asymmetric unit:
As  0.0000  0.0000  0.0000 x1
P  0.3333  0.6667  0.5000 x2

Values from the calculation:
N(E_F)	0.337	states/eV/atom
ρ	4.68	g/cm³
energy of formation from the pure elements	1.95	eV/f.u.
energy relative to the lowest polymorph listed for this composition	539.5	meV/atom
calculated volume	16.19	Å³ per atom



Here is a relaxed structure of ReAg2Se from Alexandria via LeMat-Bulk. Energies are from GGA-PBE.

a = 4.1888 Å, b = 4.1888 Å, c = 7.8365 Å
α = 90.00°, β = 90.00°, γ = 90.00°
Space group I-4m2 (No. 119)
Asymmetric unit:
Re  0.0000  0.0000  0.0000 x2
Ag  0.0000  0.0000  0.5000 x2
Ag  0.0000  0.5000  0.2500 x2
Se  0.0000  0.5000  0.7500 x2

Values from the calculation:
N(E_F)	0.510	states/eV/atom
ρ	11.62	g/cm³
raw formation energy	327.5	kJ/mol of formula units
calculated volume	17.19	Å³ per atom



Here is a relaxed structure of AlFePb2 from Alexandria via LeMat-Bulk. Energies are from GGA-PBE.

a = 3.0747 Å, b = 4.7065 Å, c = 12.7014 Å
α = 90.00°, β = 90.00°, γ = 90.00°
Space group Imm2 (No. 44)
Asymmetric unit:
Al  0.0000  0.0000  0.0000 x2
Fe  0.0000  0.5000  0.6633 x2
Pb  0.0000  0.0000  0.3789 x2
Pb  0.0000  0.5000  0.1769 x2

Values from the calculation:
N(E_F)	0.817	states/eV/atom
ρ	8.98	g/cm³
energy of formation from the pure elements	1.58	eV/f.u.
calculated volume	22.98	Å³ per atom



Here is a relaxed structure of Y4TmN5 from Alexandria via LeMat-Bulk. Energies are from GGA-PBE.

a = 7.7444 Å, b = 7.7444 Å, c = 4.8985 Å
α = 90.00°, β = 90.00°, γ = 90.00°
Space group I4/m (No. 87)
Asymmetric unit:
Y  0.1002  0.7005  0.0000 x8
Tm  0.0000  0.0000  0.5000 x2
N  0.0000  0.0000  0.0000 x2
N  0.0987  0.7031  0.5000 x8

Values from the calculation:
N(E_F)	0.032	states/eV/atom
ρ	6.72	g/cm³
raw formation energy	-1657.2	kJ/mol of formula units
calculated volume	14.69	Å³ per atom



Here is a relaxed structure of NaTlInTe3 from Alexandria via LeMat-Bulk. Energies are from GGA-PBE.

a = 9.0617 Å, b = 4.4454 Å, c = 11.6707 Å
α = 90.00°, β = 104.52°, γ = 90.00°
Space group P2_1/m (No. 11)
Asymmetric unit:
Na  0.2135  0.2500  0.1608 x2
Tl  0.3367  0.7500  0.9070 x2
In  0.0748  0.2500  0.6308 x2
Te  0.0479  0.2500  0.8615 x2
Te  0.2200  0.7500  0.5452 x2
Te  0.4677  0.7500  0.1816 x2

Values from the calculation:
N(E_F)	0.378	states/eV/atom
ρ	5.29	g/cm³
raw formation energy	-216.6	kJ/mol of formula units
calculated volume	37.93	Å³ per atom



Here is a relaxed structure of LiHfSbPd from Alexandria via LeMat-Bulk. Energies are from GGA-PBE.

a = 6.6840 Å, b = 6.6840 Å, c = 6.6840 Å
α = 90.00°, β = 90.00°, γ = 90.00°
Space group F-43m (No. 216)
Asymmetric unit:
Li  0.0000  0.0000  0.0000 x4
Hf  0.0000  0.0000  0.5000 x4
Sb  0.2500  0.2500  0.7500 x4
Pd  0.2500  0.2500  0.2500 x4

Values from the calculation:
N(E_F)	0.428	states/eV/atom
ρ	9.20	g/cm³
raw formation energy	-194.4	kJ/mol of formula units
calculated volume	18.66	Å³ per atom



Here is a relaxed structure of AlAu from Alexandria via LeMat-Bulk. Energies are from GGA-PBE.

a = 7.8861 Å, b = 7.8861 Å, c = 7.8861 Å
α = 90.00°, β = 90.00°, γ = 90.00°
Space group I-43m (No. 217)
Asymmetric unit:
Al  0.1311  0.1311  0.1311 x8
Au  0.1864  0.1864  0.8136 x8

Values from the calculation:
N(E_F)	0.479	states/eV/atom
ρ	6.07	g/cm³
energy of formation from the pure elements	0.07	eV/f.u.
calculated volume	30.65	Å³ per atom



Here is a relaxed structure of FeTc2Cl from Alexandria via LeMat-Bulk. Energies are from GGA-PBE.

a = 2.8439 Å, b = 4.4689 Å, c = 8.9560 Å
α = 90.00°, β = 90.00°, γ = 90.00°
Space group Immm (No. 71)
Asymmetric unit:
Fe  0.0000  0.0000  0.0000 x2
Tc  0.0000  0.5000  0.2296 x4
Cl  0.0000  0.0000  0.5000 x2

Values from the calculation:
N(E_F)	1.176	states/eV/atom
ρ	8.38	g/cm³
raw formation energy	256.9	kJ/mol of formula units
energy relative to the lowest polymorph listed for this composition	420.1	meV/atom
calculated volume	14.23	Å³ per atom



Here is a relaxed structure of Ba2Al3Au5 from Alexandria via LeMat-Bulk. Energies are from GGA-PBE.

a = 10.5225 Å, b = 13.4628 Å, c = 6.6867 Å
α = 90.00°, β = 90.00°, γ = 90.00°
Space group Ibam (No. 72)
Asymmetric unit:
Ba  0.2440  0.1335  0.0000 x8
Al  0.0000  0.5000  0.2500 x4
Al  0.1073  0.1265  0.5000 x8
Au  0.0000  0.0000  0.2500 x4
Au  0.0000  0.2540  0.2500 x8
Au  0.1446  0.3971  0.0000 x8

Values from the calculation:
N(E_F)	0.493	states/eV/atom
ρ	9.40	g/cm³
energy of formation from the pure elements	-5.95	eV/f.u.
energy relative to the lowest polymorph listed for this composition	0.0	meV/atom
calculated volume	23.68	Å³ per atom



Here is a relaxed structure of RbNb2Tc2 from Alexandria via LeMat-Bulk. Energies are from GGA-PBE.

a = 4.3202 Å, b = 4.3202 Å, c = 12.4047 Å
α = 90.00°, β = 90.00°, γ = 90.00°
Space group I4/mmm (No. 139)
Asymmetric unit:
Rb  0.0000  0.0000  0.0000 x2
Nb  0.0000  0.5000  0.2500 x4
Tc  0.0000  0.0000  0.3687 x4

Values from the calculation:
N(E_F)	0.950	states/eV/atom
ρ	6.70	g/cm³
energy of formation from the pure elements	3.43	eV/f.u.
energy relative to the lowest polymorph listed for this composition	31.4	meV/atom
calculated volume	23.15	Å³ per atom



Here is a relaxed structure of FeGe3Ir from Alexandria via LeMat-Bulk. Energies are from GGA-PBE.

a = 4.4530 Å, b = 4.4530 Å, c = 4.4530 Å
α = 90.00°, β = 90.00°, γ = 90.00°
Space group Pm-3m (No. 221)
Asymmetric unit:
Fe  0.0000  0.0000  0.0000 x1
Ge  0.0000  0.0000  0.5000 x3
Ir  0.5000  0.5000  0.5000 x1

Values from the calculation:
N(E_F)	1.035	states/eV/atom
ρ	8.76	g/cm³
energy of formation from the pure elements	3.04	eV/f.u.
energy relative to the lowest polymorph listed for this composition	0.0	meV/atom
calculated volume	17.66	Å³ per atom



Here is a relaxed structure of Tb2HfSn from Alexandria via LeMat-Bulk. Energies are from GGA-PBE.

a = 3.3898 Å, b = 3.3898 Å, c = 34.7724 Å
α = 90.00°, β = 90.00°, γ = 120.00°
Space group R-3m (No. 166, hexagonal axes)
Asymmetric unit:
Tb  0.0000  0.0000  0.0911 x6
Hf  0.0000  0.0000  0.5000 x3
Sn  0.0000  0.0000  0.0000 x3

Values from the calculation:
N(E_F)	1.163	states/eV/atom
ρ	8.85	g/cm³
energy of formation from the pure elements	0.45	eV/f.u.
calculated volume	28.84	Å³ per atom



Total magnetization per entry: 0.0 0.0 0.0 3.9 0.0 0.0 0.0 0.0 0.0 4.0 2.0 0.0 11.3 0.0 2.0 4.5 0.0 0.0 0.0 0.0 4.7 0.0 0.0 0.2 0.0 Bohr magnetons per cell